A relaxed Ag2PW crystal, computed with PBE.

```
data_Ag2PW
_space_group_name_H-M_alt 'P 1'
_space_group_IT_number 1
_cell_length_a 2.951
_cell_length_b 3.884
_cell_length_c 11.884
_cell_angle_alpha 90.00
_cell_angle_beta 90.00
_cell_angle_gamma 90.00
loop_
_space_group_symop_operation_xyz
'x,y,z'
loop_
_atom_site_label
_atom_site_fract_x
_atom_site_fract_y
_atom_site_fract_z
_atom_site_occupancy
Ag1 0.250 0.250 0.063 1
Ag2 0.250 0.250 0.802 1
Ag3 0.750 0.750 0.198 1
Ag4 0.750 0.750 0.937 1
P1 0.250 0.750 0.623 1
P2 0.750 0.250 0.377 1
W1 0.250 0.750 0.420 1
W2 0.750 0.250 0.580 1
```

Summary:
Electronic total energy: -5.911 eV per atom
Space group: Pmmn, No. 59
Energy relative to the elements: 2.42 kcal/mol of atoms
Crystal system: orthorhombic

A relaxed Re2TeAs crystal, computed with PBE.

```
data_Re2TeAs
_space_group_name_H-M_alt 'P 1'
_space_group_IT_number 1
_cell_length_a 8.659
_cell_length_b 3.208
_cell_length_c 6.538
_cell_angle_alpha 90.00
_cell_angle_beta 99.93
_cell_angle_gamma 90.00
loop_
_space_group_symop_operation_xyz
'x,y,z'
loop_
_atom_site_label
_atom_site_fract_x
_atom_site_fract_y
_atom_site_fract_z
_atom_site_occupancy
Re1 0.000 0.000 0.000 1
Re2 0.228 0.500 0.118 1
Re3 0.500 0.500 0.000 1
Re4 0.728 0.000 0.118 1
Te1 0.470 0.000 0.351 1
Te2 0.970 0.500 0.351 1
As1 0.259 0.000 0.815 1
As2 0.759 0.500 0.815 1
```

Summary:
Electronic total energy: -7.698 eV per atom
Space group: Cm, No. 8
Excess energy over the best structure of this formula in the dataset: 229 meV/atom
Energy relative to the elements, uncorrected: 0.47 eV/atom
Crystal system: monoclinic

A relaxed Ca2PmDyTe4 crystal, computed with PBE.

```
data_Ca2PmDyTe4
_space_group_name_H-M_alt 'P 1'
_space_group_IT_number 1
_cell_length_a 7.650
_cell_length_b 4.416
_cell_length_c 7.820
_cell_angle_alpha 90.00
_cell_angle_beta 109.06
_cell_angle_gamma 90.00
loop_
_space_group_symop_operation_xyz
'x,y,z'
loop_
_atom_site_label
_atom_site_fract_x
_atom_site_fract_y
_atom_site_fract_z
_atom_site_occupancy
Ca1 0.000 0.000 0.000 1
Ca2 0.500 0.500 0.000 1
Pm1 0.000 0.500 0.500 1
Dy1 0.500 0.000 0.500 1
Te1 0.255 0.000 0.751 1
Te2 0.255 0.500 0.253 1
Te3 0.745 0.000 0.249 1
Te4 0.745 0.500 0.747 1
```

Summary:
Electronic total energy: -4.719 eV per atom
Space group: P2/m, No. 10
Energy relative to the elements, uncorrected: -1.48 eV/atom
Crystal system: monoclinic